(1)
# Sc2NbNi2, optimized geometry, DFT PBE
# Electronic total energy (eV per atom): -6.927
data_Sc2NbNi2
_cell_length_a 7.587
_cell_length_b 7.587
_cell_length_c 2.864
_cell_angle_alpha 90.00
_cell_angle_beta 90.00
_cell_angle_gamma 90.00
_space_group_name_H-M_alt 'P 4/m b m'
_space_group_IT_number 127
_space_group_name_Hall '-P 4 2ab'
loop_
_atom_site_label
_atom_site_type_symbol
_atom_site_fract_x
_atom_site_fract_y
_atom_site_fract_z
Sc1 Sc 0.145 0.355 0.000
Nb1 Nb 0.000 0.000 0.000
Ni1 Ni 0.155 0.655 0.500


(2)
# Sc2Nb2Ni, optimized geometry, DFT PBE
# Electronic total energy (eV per atom): -7.538
data_Sc2Nb2Ni
_cell_length_a 6.487
_cell_length_b 6.487
_cell_length_c 4.699
_cell_angle_alpha 90.00
_cell_angle_beta 90.00
_cell_angle_gamma 90.00
_space_group_name_H-M_alt 'P 4/m b m'
_space_group_IT_number 127
_space_group_name_Hall '-P 4 2ab'
loop_
_atom_site_label
_atom_site_type_symbol
_atom_site_fract_x
_atom_site_fract_y
_atom_site_fract_z
Sc1 Sc 0.164 0.336 0.000
Nb1 Nb 0.143 0.643 0.500
Ni1 Ni 0.000 0.000 0.500


(3)
# ScNbNi3, optimized geometry, DFT PBE
# Electronic total energy (eV per atom): -6.081
data_ScNbNi3
_cell_length_a 4.528
_cell_length_b 4.528
_cell_length_c 4.528
_cell_angle_alpha 90.00
_cell_angle_beta 90.00
_cell_angle_gamma 90.00
_space_group_name_H-M_alt 'P m -3 m'
_space_group_IT_number 221
_space_group_name_Hall '-P 4 2 3'
loop_
_atom_site_label
_atom_site_type_symbol
_atom_site_fract_x
_atom_site_fract_y
_atom_site_fract_z
Sc1 Sc 0.000 0.000 0.000
Nb1 Nb 0.500 0.500 0.500
Ni1 Ni 0.000 0.500 0.500


(4)
# Sc2NbNi2, optimized geometry, DFT PBE
# Electronic total energy (eV per atom): -6.740
data_Sc2NbNi2
_cell_length_a 4.135
_cell_length_b 4.135
_cell_length_c 10.235
_cell_angle_alpha 90.00
_cell_angle_beta 90.00
_cell_angle_gamma 90.00
_space_group_name_H-M_alt 'I 4/m m m'
_space_group_IT_number 139
_space_group_name_Hall '-I 4 2'
loop_
_atom_site_label
_atom_site_type_symbol
_atom_site_fract_x
_atom_site_fract_y
_atom_site_fract_z
Sc1 Sc 0.000 0.500 0.250
Nb1 Nb 0.000 0.000 0.000
Ni1 Ni 0.000 0.000 0.395


(5)
# ScNb2Ni2, optimized geometry, DFT PBE
# Electronic total energy (eV per atom): -7.315
data_ScNb2Ni2
_cell_length_a 3.918
_cell_length_b 3.918
_cell_length_c 11.568
_cell_angle_alpha 90.00
_cell_angle_beta 90.00
_cell_angle_gamma 90.00
_space_group_name_H-M_alt 'I 4/m m m'
_space_group_IT_number 139
_space_group_name_Hall '-I 4 2'
loop_
_atom_site_label
_atom_site_type_symbol
_atom_site_fract_x
_atom_site_fract_y
_atom_site_fract_z
Sc1 Sc 0.000 0.000 0.000
Nb1 Nb 0.000 0.000 0.382
Ni1 Ni 0.000 0.500 0.250


(6)
# ScNb2Ni2, optimized geometry, DFT PBE
# Electronic total energy (eV per atom): -7.623
data_ScNb2Ni2
_cell_length_a 7.721
_cell_length_b 7.721
_cell_length_c 2.727
_cell_angle_alpha 90.00
_cell_angle_beta 90.00
_cell_angle_gamma 90.00
_space_group_name_H-M_alt 'P 4/m b m'
_space_group_IT_number 127
_space_group_name_Hall '-P 4 2ab'
loop_
_atom_site_label
_atom_site_type_symbol
_atom_site_fract_x
_atom_site_fract_y
_atom_site_fract_z
Sc1 Sc 0.000 0.000 0.000
Nb1 Nb 0.125 0.375 0.000
Ni1 Ni 0.173 0.673 0.500


(7)
# Sc2NbNi2, optimized geometry, DFT PBE
# Electronic total energy (eV per atom): -6.802
data_Sc2NbNi2
_cell_length_a 3.243
_cell_length_b 3.243
_cell_length_c 17.049
_cell_angle_alpha 90.00
_cell_angle_beta 90.00
_cell_angle_gamma 90.00
_space_group_name_H-M_alt 'I 4/m m m'
_space_group_IT_number 139
_space_group_name_Hall '-I 4 2'
loop_
_atom_site_label
_atom_site_type_symbol
_atom_site_fract_x
_atom_site_fract_y
_atom_site_fract_z
Sc1 Sc 0.000 0.000 0.123
Nb1 Nb 0.000 0.000 0.500
Ni1 Ni 0.000 0.500 0.250


(8)
# Sc2NbNi, optimized geometry, DFT PBE
# Electronic total energy (eV per atom): -7.299
data_Sc2NbNi
_cell_length_a 3.101
_cell_length_b 3.101
_cell_length_c 7.567
_cell_angle_alpha 90.00
_cell_angle_beta 90.00
_cell_angle_gamma 90.00
_space_group_name_H-M_alt 'P 4/m m m'
_space_group_IT_number 123
_space_group_name_Hall '-P 4 2'
loop_
_atom_site_label
_atom_site_type_symbol
_atom_site_fract_x
_atom_site_fract_y
_atom_site_fract_z
Sc1 Sc 0.000 0.000 0.214
Nb1 Nb 0.500 0.500 0.500
Ni1 Ni 0.500 0.500 0.000


(9)
# Sc2NbNi2, optimized geometry, DFT PBE
# Electronic total energy (eV per atom): -7.082
data_Sc2NbNi2
_cell_length_a 6.989
_cell_length_b 6.989
_cell_length_c 3.452
_cell_angle_alpha 90.00
_cell_angle_beta 90.00
_cell_angle_gamma 90.00
_space_group_name_H-M_alt 'P 4/m b m'
_space_group_IT_number 127
_space_group_name_Hall '-P 4 2ab'
loop_
_atom_site_label
_atom_site_type_symbol
_atom_site_fract_x
_atom_site_fract_y
_atom_site_fract_z
Sc1 Sc 0.168 0.332 0.000
Nb1 Nb 0.000 0.000 0.500
Ni1 Ni 0.127 0.627 0.500


(10)
# ScNb3Ni, optimized geometry, DFT PBE
# Electronic total energy (eV per atom): -7.821
data_ScNb3Ni
_cell_length_a 4.691
_cell_length_b 4.691
_cell_length_c 4.691
_cell_angle_alpha 90.00
_cell_angle_beta 90.00
_cell_angle_gamma 90.00
_space_group_name_H-M_alt 'P m -3 m'
_space_group_IT_number 221
_space_group_name_Hall '-P 4 2 3'
loop_
_atom_site_label
_atom_site_type_symbol
_atom_site_fract_x
_atom_site_fract_y
_atom_site_fract_z
Sc1 Sc 0.000 0.000 0.000
Nb1 Nb 0.000 0.500 0.500
Ni1 Ni 0.500 0.500 0.500


(11)
# ScNb2Ni, optimized geometry, DFT PBE
# Electronic total energy (eV per atom): -7.819
data_ScNb2Ni
_cell_length_a 6.454
_cell_length_b 6.454
_cell_length_c 6.454
_cell_angle_alpha 90.00
_cell_angle_beta 90.00
_cell_angle_gamma 90.00
_space_group_name_H-M_alt 'F m -3 m'
_space_group_IT_number 225
_space_group_name_Hall '-F 4 2 3'
loop_
_atom_site_label
_atom_site_type_symbol
_atom_site_fract_x
_atom_site_fract_y
_atom_site_fract_z
Sc1 Sc 0.000 0.000 0.000
Nb1 Nb 0.250 0.250 0.250
Ni1 Ni 0.000 0.000 0.500


(12)
# SrScNbNi2, optimized geometry, DFT PBE
# Electronic total energy (eV per atom): -4.199
data_SrScNbNi2
_cell_length_a 4.640
_cell_length_b 4.640
_cell_length_c 4.965
_cell_angle_alpha 90.00
_cell_angle_beta 90.00
_cell_angle_gamma 90.00
_space_group_name_H-M_alt 'P 4/m m m'
_space_group_IT_number 123
_space_group_name_Hall '-P 4 2'
loop_
_atom_site_label
_atom_site_type_symbol
_atom_site_fract_x
_atom_site_fract_y
_atom_site_fract_z
Sr1 Sr 0.000 0.000 0.000
Sc1 Sc 0.000 0.000 0.500
Nb1 Nb 0.500 0.500 0.500
Ni1 Ni 0.000 0.500 0.000


(13)
# ScNb2NiW, optimized geometry, DFT PBE
# Electronic total energy (eV per atom): -6.947
data_ScNb2NiW
_cell_length_a 4.688
_cell_length_b 4.688
_cell_length_c 4.564
_cell_angle_alpha 90.00
_cell_angle_beta 90.00
_cell_angle_gamma 90.00
_space_group_name_H-M_alt 'P 4/m m m'
_space_group_IT_number 123
_space_group_name_Hall '-P 4 2'
loop_
_atom_site_label
_atom_site_type_symbol
_atom_site_fract_x
_atom_site_fract_y
_atom_site_fract_z
Sc1 Sc 0.000 0.000 0.000
Nb1 Nb 0.000 0.500 0.000
Ni1 Ni 0.500 0.500 0.500
W1 W 0.000 0.000 0.500


(14)
# NbNiSe, optimized geometry, DFT PBE
# Raw formation energy (eV/atom): -0.27
data_NbNiSe
_cell_length_a 3.5930
_cell_length_b 3.5930
_cell_length_c 31.4212
_cell_angle_alpha 90.00
_cell_angle_beta 90.00
_cell_angle_gamma 120.00
_space_group_name_H-M_alt 'R -3 m'
_space_group_IT_number 166
_space_group_name_Hall '-R 3 2"'
loop_
_atom_site_label
_atom_site_type_symbol
_atom_site_fract_x
_atom_site_fract_y
_atom_site_fract_z
Nb1 Nb 0.0000 0.0000 0.0607
Ni1 Ni 0.0000 0.0000 0.3507
Se1 Se 0.0000 0.0000 0.2206


(15)
# NbNi2Se6, optimized geometry, DFT PBE
# Raw formation energy (eV/atom): -0.29
data_NbNi2Se6
_cell_length_a 11.746
_cell_length_b 3.602
_cell_length_c 9.076
_cell_angle_alpha 90.00
_cell_angle_beta 106.13
_cell_angle_gamma 90.00
_space_group_name_H-M_alt 'C 1 2/m 1'
_space_group_IT_number 12
_space_group_name_Hall '-C 2y'
loop_
_atom_site_label
_atom_site_type_symbol
_atom_site_fract_x
_atom_site_fract_y
_atom_site_fract_z
Nb1 Nb 0.000 0.000 0.000
Ni1 Ni 0.209 0.000 0.650
Se1 Se 0.038 0.000 0.735
Se2 Se 0.141 0.500 0.469
Se3 Se 0.165 0.500 0.093


(16)
# NbNiSe5, optimized geometry, DFT PBE
# Raw formation energy (eV/atom): -0.16
data_NbNiSe5
_cell_length_a 10.469
_cell_length_b 7.801
_cell_length_c 9.086
_cell_angle_alpha 90.00
_cell_angle_beta 115.20
_cell_angle_gamma 90.00
_space_group_name_H-M_alt 'C 1 2/c 1'
_space_group_IT_number 15
_space_group_name_Hall '-C 2yc'
loop_
_atom_site_label
_atom_site_type_symbol
_atom_site_fract_x
_atom_site_fract_y
_atom_site_fract_z
Nb1 Nb 0.000 0.068 0.250
Ni1 Ni 0.000 0.500 0.000
Se1 Se 0.000 0.394 0.250
Se2 Se 0.039 0.182 0.998
Se3 Se 0.245 0.498 0.598


(17)
# NbNiSe6, optimized geometry, DFT PBE
# Raw formation energy (eV/atom): -0.21
data_NbNiSe6
_cell_length_a 6.000
_cell_length_b 6.101
_cell_length_c 6.157
_cell_angle_alpha 70.41
_cell_angle_beta 63.41
_cell_angle_gamma 62.97
_space_group_name_H-M_alt 'P -1'
_space_group_IT_number 2
_space_group_name_Hall '-P 1'
loop_
_atom_site_label
_atom_site_type_symbol
_atom_site_fract_x
_atom_site_fract_y
_atom_site_fract_z
Nb1 Nb 0.000 0.000 0.000
Ni1 Ni 0.500 0.500 0.500
Se1 Se 0.045 0.748 0.728
Se2 Se 0.315 0.578 0.184
Se3 Se 0.420 0.101 0.678


(18)
# Nb4NiSe8, optimized geometry, DFT PBE
# Raw formation energy (eV/atom): -0.81
data_Nb4NiSe8
_cell_length_a 6.9884
_cell_length_b 6.9884
_cell_length_c 12.5049
_cell_angle_alpha 90.00
_cell_angle_beta 90.00
_cell_angle_gamma 120.00
_space_group_name_H-M_alt 'P 63/m m c'
_space_group_IT_number 194
_space_group_name_Hall '-P 6c 2c'
loop_
_atom_site_label
_atom_site_type_symbol
_atom_site_fract_x
_atom_site_fract_y
_atom_site_fract_z
Nb1 Nb 0.0000 0.0000 0.2500
Nb2 Nb 0.0187 0.5093 0.2500
Ni1 Ni 0.0000 0.0000 0.0000
Se1 Se 0.1679 0.3358 0.6182
Se2 Se 0.3333 0.6667 0.1094


(19)
# NbNi3Se, optimized geometry, DFT PBE
# Raw formation energy (eV/atom): 0.56
data_NbNi3Se
_cell_length_a 4.304
_cell_length_b 4.304
_cell_length_c 4.304
_cell_angle_alpha 90.00
_cell_angle_beta 90.00
_cell_angle_gamma 90.00
_space_group_name_H-M_alt 'P m -3 m'
_space_group_IT_number 221
_space_group_name_Hall '-P 4 2 3'
loop_
_atom_site_label
_atom_site_type_symbol
_atom_site_fract_x
_atom_site_fract_y
_atom_site_fract_z
Nb1 Nb 0.000 0.000 0.000
Ni1 Ni 0.000 0.500 0.500
Se1 Se 0.500 0.500 0.500


(20)
# Nb3NiSe6, optimized geometry, DFT PBE
# Raw formation energy (eV/atom): -0.54
data_Nb3NiSe6
_cell_length_a 10.317
_cell_length_b 12.678
_cell_length_c 6.212
_cell_angle_alpha 90.00
_cell_angle_beta 90.00
_cell_angle_gamma 90.00
_space_group_name_H-M_alt 'C m c 21'
_space_group_IT_number 36
_space_group_name_Hall 'C 2c -2'
loop_
_atom_site_label
_atom_site_type_symbol
_atom_site_fract_x
_atom_site_fract_y
_atom_site_fract_z
Nb1 Nb 0.000 0.102 0.000
Nb2 Nb 0.149 0.389 0.094
Ni1 Ni 0.000 0.278 0.735
Se1 Se 0.000 0.267 0.322
Se2 Se 0.000 0.460 0.769
Se3 Se 0.169 0.029 0.296
Se4 Se 0.191 0.216 0.866


| no. | magnetic moment (μB/cell) |
| --- | --- |
| 1 | 2.6 |
| 2 | 0.0 |
| 3 | 0.0 |
| 4 | 0.0 |
| 5 | 1.3 |
| 6 | 1.0 |
| 7 | 0.0 |
| 8 | 0.0 |
| 9 | 0.0 |
| 10 | 0.0 |
| 11 | 0.0 |
| 12 | 2.1 |
| 13 | 0.4 |
| 14 | 0.0 |
| 15 | 0.0 |
| 16 | 0.0 |
| 17 | 0.0 |
| 18 | 1.6 |
| 19 | 2.3 |
| 20 | 0.0 |